First-principles (PBE-GGA) data for crystalline CuTc2Ag at its relaxed geometry, as listed in Alexandria.

Results
* energy of formation: 0.27 eV/atom
* spin magnetization: 0.0 μB/f.u.
* E above lowest polymorph: 0.000 eV/atom
* DOS(E_F): 2.769 states/eV/f.u.

Cell lengths 2.935, 2.935, 7.097 Å; angles 90.00, 90.00, 90.00 degrees
Sites, in units of the cell vectors:
Tc: 0.000 0.000 0.011
Ag: 0.000 0.000 0.517
Tc: 0.500 0.500 0.213
Cu: 0.500 0.500 0.760